[1]
Below is a geometry-optimized LiZrCuTeSe2 structure, with properties calculated at the GGA-PBE level.

```
data_LiZrCuTeSe2
_chemical_formula_sum 'Li4 Zr4 Cu4 Te4 Se8'
_cell_length_a 3.793
_cell_length_b 13.398
_cell_length_c 10.446
_cell_angle_alpha 90.00
_cell_angle_beta 90.00
_cell_angle_gamma 90.00
_space_group_name_H-M_alt 'C m c m'
_space_group_IT_number 63
_space_group_name_Hall '-C 2c 2'
loop_
_atom_site_label
_atom_site_fract_x
_atom_site_fract_y
_atom_site_fract_z
Li1 0.000 0.194 0.250
Zr1 0.000 0.000 0.000
Cu1 0.000 0.476 0.750
Te1 0.000 0.109 0.750
Se1 0.000 0.364 0.568
```

Properties
magnetic moment = 0.01 μB/f.u.

[2]
Below is a geometry-optimized LiZrCuTe2Se structure, with properties calculated at the GGA-PBE level.

```
data_LiZrCuTe2Se
_chemical_formula_sum 'Li4 Zr4 Cu4 Te8 Se4'
_cell_length_a 3.868
_cell_length_b 13.956
_cell_length_c 10.314
_cell_angle_alpha 90.00
_cell_angle_beta 90.00
_cell_angle_gamma 90.00
_space_group_name_H-M_alt 'C m c m'
_space_group_IT_number 63
_space_group_name_Hall '-C 2c 2'
loop_
_atom_site_label
_atom_site_fract_x
_atom_site_fract_y
_atom_site_fract_z
Li1 0.000 0.239 0.250
Zr1 0.000 0.500 0.000
Cu1 0.000 0.023 0.750
Te1 0.000 0.148 0.564
Se1 0.000 0.417 0.750
```

Properties
magnetic moment = 0.01 μB/f.u.

[3]
Below is a geometry-optimized LiThCuSe3 structure, with properties calculated at the GGA-PBE level.

```
data_LiThCuSe3
_chemical_formula_sum 'Li4 Th4 Cu4 Se12'
_cell_length_a 4.067
_cell_length_b 12.799
_cell_length_c 10.890
_cell_angle_alpha 90.00
_cell_angle_beta 90.00
_cell_angle_gamma 90.00
_space_group_name_H-M_alt 'C m c m'
_space_group_IT_number 63
_space_group_name_Hall '-C 2c 2'
loop_
_atom_site_label
_atom_site_fract_x
_atom_site_fract_y
_atom_site_fract_z
Li1 0.000 0.238 0.250
Th1 0.000 0.000 0.000
Cu1 0.000 0.478 0.750
Se1 0.000 0.093 0.750
Se2 0.000 0.354 0.580
```

Properties
magnetic moment = 0.00 μB/f.u.

[4]
Below is a geometry-optimized LiTmCuSe3 structure, with properties calculated at the GGA-PBE level.

```
data_LiTmCuSe3
_chemical_formula_sum 'Li4 Tm4 Cu4 Se12'
_cell_length_a 3.843
_cell_length_b 13.100
_cell_length_c 10.452
_cell_angle_alpha 90.00
_cell_angle_beta 90.00
_cell_angle_gamma 90.00
_space_group_name_H-M_alt 'C m c m'
_space_group_IT_number 63
_space_group_name_Hall '-C 2c 2'
loop_
_atom_site_label
_atom_site_fract_x
_atom_site_fract_y
_atom_site_fract_z
Li1 0.000 0.213 0.250
Tm1 0.000 0.000 0.000
Cu1 0.000 0.482 0.750
Se1 0.000 0.096 0.750
Se2 0.000 0.358 0.578
```

Properties
magnetic moment = 0.02 μB/f.u.

[5]
Below is a geometry-optimized LiUCuSe3 structure, with properties calculated at the GGA-PBE level.

```
data_LiUCuSe3
_chemical_formula_sum 'Li4 U4 Cu4 Se12'
_cell_length_a 3.946
_cell_length_b 12.921
_cell_length_c 10.566
_cell_angle_alpha 90.00
_cell_angle_beta 90.00
_cell_angle_gamma 90.00
_space_group_name_H-M_alt 'C m c m'
_space_group_IT_number 63
_space_group_name_Hall '-C 2c 2'
loop_
_atom_site_label
_atom_site_fract_x
_atom_site_fract_y
_atom_site_fract_z
Li1 0.000 0.228 0.250
U1 0.000 0.000 0.000
Cu1 0.000 0.477 0.750
Se1 0.000 0.092 0.750
Se2 0.000 0.355 0.576
```

Properties
magnetic moment = 2.00 μB/f.u.

[6]
Below is a geometry-optimized LiCuWSe3 structure, with properties calculated at the GGA-PBE level.

```
data_LiCuWSe3
_chemical_formula_sum 'Li4 Cu4 W4 Se12'
_cell_length_a 3.444
_cell_length_b 12.982
_cell_length_c 9.555
_cell_angle_alpha 90.00
_cell_angle_beta 90.00
_cell_angle_gamma 90.00
_space_group_name_H-M_alt 'C m c m'
_space_group_IT_number 63
_space_group_name_Hall '-C 2c 2'
loop_
_atom_site_label
_atom_site_fract_x
_atom_site_fract_y
_atom_site_fract_z
Li1 0.000 0.226 0.250
Cu1 0.000 0.464 0.750
W1 0.000 0.000 0.000
Se1 0.000 0.096 0.750
Se2 0.000 0.355 0.550
```

Properties
magnetic moment = 0.06 μB/f.u.

[7]
Below is a geometry-optimized LiCu3WSe4 structure, with properties calculated at the GGA-PBE level.

```
data_LiCu3WSe4
_chemical_formula_sum 'Li1 Cu3 W1 Se4'
_cell_length_a 5.708
_cell_length_b 5.708
_cell_length_c 5.708
_cell_angle_alpha 90.00
_cell_angle_beta 90.00
_cell_angle_gamma 90.00
_space_group_name_H-M_alt 'P -4 3 m'
_space_group_IT_number 215
_space_group_name_Hall 'P -4 2 3'
loop_
_atom_site_label
_atom_site_fract_x
_atom_site_fract_y
_atom_site_fract_z
Li1 0.000 0.000 0.000
Cu1 0.000 0.500 0.500
W1 0.500 0.500 0.500
Se1 0.251 0.251 0.251
```

Properties
magnetic moment = 1.71 μB/f.u.

[8]
Below is a geometry-optimized LiZrCu3Se4 structure, with properties calculated at the GGA-PBE level.

```
data_LiZrCu3Se4
_chemical_formula_sum 'Li1 Zr1 Cu3 Se4'
_cell_length_a 5.817
_cell_length_b 5.817
_cell_length_c 5.817
_cell_angle_alpha 90.00
_cell_angle_beta 90.00
_cell_angle_gamma 90.00
_space_group_name_H-M_alt 'P -4 3 m'
_space_group_IT_number 215
_space_group_name_Hall 'P -4 2 3'
loop_
_atom_site_label
_atom_site_fract_x
_atom_site_fract_y
_atom_site_fract_z
Li1 0.000 0.000 0.000
Zr1 0.500 0.500 0.500
Cu1 0.000 0.500 0.500
Se1 0.249 0.249 0.249
```

Properties
magnetic moment = 0.00 μB/f.u.

Number 1: DFT total energy -4.973 eV per atom. Number 2: DFT total energy -4.763 eV per atom. Number 3: DFT total energy -5.130 eV per atom. Number 4: DFT total energy -4.506 eV per atom. Number 5: DFT total energy -5.504 eV per atom. Number 6: DFT total energy -5.165 eV per atom. Number 7: DFT total energy -4.652 eV per atom. Number 8: DFT total energy -4.679 eV per atom.